The following is a GGA-PBE calculation of an optimized crystal structure of Cs2DyS2, from OQMD.

Results
Energy = -83.66 eV for the cell shown
Crystal system = orthorhombic
Total moment = 0.0 μB/f.u.

```
data_Cs2DyS2
_cell_length_a 7.993
_cell_length_b 13.571
_cell_length_c 7.415
_cell_angle_alpha 90.00
_cell_angle_beta 90.00
_cell_angle_gamma 90.00
_space_group_name_H-M_alt 'I b a m'
_space_group_IT_number 72
_space_group_name_Hall '-I 2 2c'
loop_
_atom_site_label
_atom_site_type_symbol
_atom_site_fract_x
_atom_site_fract_y
_atom_site_fract_z
_atom_site_occupancy
Cs1 Cs 0.119 0.156 0.000 1
Dy1 Dy 0.000 0.500 0.250 1
S1 S 0.185 0.409 0.000 1
```